# Ba12As3Rh5, optimized geometry, DFT GGA-PBE
data_Ba12As3Rh5
_chemical_formula_sum 'Ba96 As24 Rh40'
_cell_length_a 18.629
_cell_length_b 18.629
_cell_length_c 18.629
_cell_angle_alpha 90.00
_cell_angle_beta 90.00
_cell_angle_gamma 90.00
_space_group_name_H-M_alt 'I a -3 d'
_space_group_IT_number 230
_space_group_name_Hall '-I 4bd 2c 3'
loop_
_atom_site_label
_atom_site_type_symbol
_atom_site_fract_x
_atom_site_fract_y
_atom_site_fract_z
Ba1 Ba 0.023 0.060 0.654
As1 As 0.000 0.250 0.125
Rh1 Rh 0.000 0.000 0.000
Rh2 Rh 0.000 0.250 0.375
# Total magnetic moment in Bohr magnetons per cell: 0.00
# DFT formation energy in kJ/mol of formula units: -713

# TiCl3, optimized geometry, DFT GGA-PBE
data_TiCl3
_chemical_formula_sum 'Ti6 Cl18'
_cell_length_a 6.0857
_cell_length_b 6.0857
_cell_length_c 19.7593
_cell_angle_alpha 90.00
_cell_angle_beta 90.00
_cell_angle_gamma 120.00
_space_group_name_H-M_alt 'P 3 1 2'
_space_group_IT_number 149
loop_
_space_group_symop_operation_xyz
'x,y,z'
'-y,x-y,z'
'-x+y,-x,z'
'-y,-x,-z'
'-x+y,y,-z'
'x,x-y,-z'
loop_
_atom_site_label
_atom_site_type_symbol
_atom_site_fract_x
_atom_site_fract_y
_atom_site_fract_z
Ti1 Ti 0.0000 0.0000 0.0000
Ti2 Ti 0.0000 0.0000 0.3337
Ti3 Ti 0.3333 0.6667 0.0000
Ti4 Ti 0.6667 0.3333 0.3337
Cl1 Cl 0.0171 0.3334 0.0712
Cl2 Cl 0.3333 0.0166 0.4048
Cl3 Cl 0.3334 0.0168 0.7374
# Formation energy without anion corrections in eV per atom: -1.58
# Total magnetic moment in Bohr magnetons per cell: 6.00

# CrP, optimized geometry, DFT GGA-PBE
data_CrP
_chemical_formula_sum 'Cr1 P1'
_cell_length_a 2.836
_cell_length_b 2.836
_cell_length_c 2.836
_cell_angle_alpha 90.00
_cell_angle_beta 90.00
_cell_angle_gamma 90.00
_space_group_name_H-M_alt 'P m -3 m'
_space_group_IT_number 221
_space_group_name_Hall '-P 4 2 3'
loop_
_atom_site_label
_atom_site_type_symbol
_atom_site_fract_x
_atom_site_fract_y
_atom_site_fract_z
Cr1 Cr 0.000 0.000 0.000
P1 P 0.500 0.500 0.500
# Total magnetic moment in Bohr magnetons per cell: 0.00
# DFT formation energy in kJ/mol of formula units: -45

# KYCu2, optimized geometry, DFT GGA-PBE
data_KYCu2
_chemical_formula_sum 'K2 Y2 Cu4'
_cell_length_a 4.271
_cell_length_b 4.271
_cell_length_c 10.279
_cell_angle_alpha 90.00
_cell_angle_beta 90.00
_cell_angle_gamma 90.00
_space_group_name_H-M_alt 'I -4 m 2'
_space_group_IT_number 119
_space_group_name_Hall 'I -4 -2'
loop_
_atom_site_label
_atom_site_type_symbol
_atom_site_fract_x
_atom_site_fract_y
_atom_site_fract_z
K1 K 0.000 0.000 0.000
Y1 Y 0.000 0.500 0.750
Cu1 Cu 0.000 0.000 0.500
Cu2 Cu 0.000 0.500 0.250
# Polymorph energy (0 for the lowest one) in meV/atom: 428
# Total magnetic moment in Bohr magnetons per cell: 0.00
# DFT formation energy in kJ/mol of formula units: 189